The following is a DFT calculation (PBEsol) of a geometry-optimized Re5Rh3 structure.

Geometry as CIF:
```
data_Re5Rh3
_symmetry_space_group_name_H-M 'I m m 2'
_symmetry_Int_Tables_number 44
_cell_length_a 2.698
_cell_length_b 17.430
_cell_length_c 4.785
_cell_angle_alpha 90.00
_cell_angle_beta 90.00
_cell_angle_gamma 90.00
loop_
_symmetry_equiv_pos_as_xyz
'x,y,z'
'-x,-y,z'
'-x,y,z'
'x,-y,z'
'x+1/2,y+1/2,z+1/2'
'-x+1/2,-y+1/2,z+1/2'
'-x+1/2,y+1/2,z+1/2'
'x+1/2,-y+1/2,z+1/2'
loop_
_atom_site_label
_atom_site_type_symbol
_atom_site_fract_x
_atom_site_fract_y
_atom_site_fract_z
_atom_site_occupancy
Re1 Re 0.000 0.000 0.000 1
Re2 Re 0.000 0.123 0.324 1
Re3 Re 0.000 0.249 0.000 1
Rh1 Rh 0.000 0.374 0.327 1
Rh2 Rh 0.000 0.500 0.001 1
```


The following is a DFT calculation (PBEsol) of a geometry-optimized Re3Rh structure.

Geometry as CIF:
```
data_Re3Rh
_symmetry_space_group_name_H-M 'P m -3 m'
_symmetry_Int_Tables_number 221
_symmetry_space_group_name_Hall '-P 4 2 3'
_cell_length_a 4.645
_cell_length_b 4.645
_cell_length_c 4.645
_cell_angle_alpha 90.00
_cell_angle_beta 90.00
_cell_angle_gamma 90.00
loop_
_atom_site_label
_atom_site_type_symbol
_atom_site_fract_x
_atom_site_fract_y
_atom_site_fract_z
_atom_site_occupancy
Re1 Re 0.000 0.000 0.500 1
Rh1 Rh 0.000 0.000 0.000 1
```


The following is a DFT calculation (PBEsol) of a geometry-optimized Re4Rh structure.

Geometry as CIF:
```
data_Re4Rh
_symmetry_space_group_name_H-M 'I 4/m m m'
_symmetry_Int_Tables_number 139
_symmetry_space_group_name_Hall '-I 4 2'
_cell_length_a 3.883
_cell_length_b 3.883
_cell_length_c 11.219
_cell_angle_alpha 90.00
_cell_angle_beta 90.00
_cell_angle_gamma 90.00
loop_
_atom_site_label
_atom_site_type_symbol
_atom_site_fract_x
_atom_site_fract_y
_atom_site_fract_z
_atom_site_occupancy
Re1 Re 0.000 0.000 0.109 1
Re2 Re 0.000 0.500 0.250 1
Rh1 Rh 0.000 0.000 0.500 1
```


Table of formation energy from the elements (meV/atom), in record order: -138 3550 819
Table of raw total energy (eV per atom), in record order: -11.5221 -8.4838 -11.4744